Record 1
The following is a DFT calculation (PBE) of a geometry-optimized Tb6Ho2Tm3Th structure.

It has space group C2/m (No. 12), with a = 6.1332 Å, b = 10.6149 Å, c = 11.7432 Å, α = 90.00°, β = 100.02° and γ = 90.00°. The asymmetric unit holds Tb at (0.2461, 0.0000, 0.2494), Tb at (0.2494, 0.1652, 0.7507), Ho at (0.0000, 0.3333, 0.5000), Tm at (0.0000, 0.1672, 0.0000), Tm at (0.0000, 0.5000, 0.0000) and Th at (0.0000, 0.0000, 0.5000).

The formation energy is 0.03 eV/atom.

Record 2
The following is a DFT calculation (PBE) of a geometry-optimized TbHoTm2Th structure.

It has space group P2/c (No. 13), with a = 8.2082 Å, b = 6.0275 Å, c = 6.9098 Å, α = 90.00°, β = 97.86° and γ = 90.00°. The asymmetric unit holds Tb at (0.0000, 0.0000, 0.0000), Ho at (0.5000, 0.0867, 0.2500), Tm at (0.3333, 0.4159, 0.5779) and Th at (0.0000, 0.4696, 0.2500).

The formation energy is 0.37 eV/atom.

Record 3
The following is a DFT calculation (PBE) of a geometry-optimized Tb6HoTm2Th3 structure.

It has space group C2/m (No. 12), with a = 6.1672 Å, b = 10.6731 Å, c = 11.7417 Å, α = 90.00°, β = 100.10° and γ = 90.00°. The asymmetric unit holds Tb at (0.2494, 0.1667, 0.2476), Tb at (0.2503, 0.0000, 0.7524), Ho at (0.0000, 0.5000, 0.5000), Tm at (0.0000, 0.1667, 0.5000), Th at (0.0000, 0.0000, 0.0000) and Th at (0.0000, 0.3334, 0.0000).

The formation energy is 0.03 eV/atom.

Record 4
The following is a DFT calculation (PBE) of a geometry-optimized Tb3HoTmTh structure.

It has space group C2/m (No. 12), with a = 21.8614 Å, b = 5.4221 Å, c = 6.7325 Å, α = 90.00°, β = 99.43° and γ = 90.00°. The asymmetric unit holds Tb at (0.0267, 0.0000, 0.2724), Tb at (0.1642, 0.5000, 0.2604), Tb at (0.2243, 0.5000, 0.8054), Ho at (0.1318, 0.0000, 0.9567), Tm at (0.1692, 0.0000, 0.5220) and Th at (0.0675, 0.5000, 0.6718).

The formation energy is 0.19 eV/atom.

Record 5
The following is a DFT calculation (PBE) of a geometry-optimized Tb6Ho2TmTh structure.

It has space group C2/c (No. 15), with a = 9.2780 Å, b = 14.9573 Å, c = 9.2908 Å, α = 90.00°, β = 94.76° and γ = 90.00°. The asymmetric unit holds Tb at (0.0554, 0.1760, 0.4408), Tb at (0.0967, 0.3849, 0.6109), Tb at (0.2122, 0.2201, 0.8115), Ho at (0.2449, 0.4485, 0.9454), Tm at (0.0000, 0.4132, 0.2500) and Th at (0.0000, 0.0333, 0.7500).

The formation energy is 0.15 eV/atom.

Record 6
The following is a DFT calculation (PBE) of a geometry-optimized TbHo2Tm5Th structure.

It has space group Cmc2_1 (No. 36), with a = 5.6303 Å, b = 21.2715 Å, c = 9.6222 Å, α = 90.00°, β = 90.00° and γ = 90.00°. The asymmetric unit holds Tb at (0.0000, 0.1917, 0.0000), Ho at (0.0000, 0.1145, 0.3100), Ho at (0.0000, 0.1309, 0.6921), Tm at (0.0000, 0.0143, 0.0012), Tm at (0.0000, 0.2701, 0.3090), Tm at (0.0000, 0.3059, 0.6998), Tm at (0.0000, 0.3975, 0.0221), Tm at (0.0000, 0.4695, 0.7225) and Th at (0.0000, 0.4054, 0.4041).

The formation energy is 0.17 eV/atom.

Record 7
The following is a DFT calculation (PBE) of a geometry-optimized Tb2Ho3Tm6Th structure.

It has space group C2/m (No. 12), with a = 6.1024 Å, b = 10.5606 Å, c = 11.6368 Å, α = 90.00°, β = 100.07° and γ = 90.00°. The asymmetric unit holds Tb at (0.0000, 0.1667, 0.0000), Ho at (0.0000, 0.0000, 0.5000), Ho at (0.0000, 0.3327, 0.5000), Tm at (0.2456, 0.5000, 0.7498), Tm at (0.2493, 0.3350, 0.2502) and Th at (0.0000, 0.5000, 0.0000).

The formation energy is 0.03 eV/atom.

Record 8
The following is a DFT calculation (PBE) of a geometry-optimized Tb2Ho2Tm2Th structure.

It has space group C2/m (No. 12), with a = 17.0311 Å, b = 3.4444 Å, c = 8.7248 Å, α = 90.00°, β = 120.12° and γ = 90.00°. The asymmetric unit holds Tb at (0.0678, 0.0000, 0.2286), Ho at (0.1527, 0.0000, 0.9437), Tm at (0.2257, 0.0000, 0.6477) and Th at (0.0000, 0.5000, 0.5000).

The formation energy is 0.11 eV/atom.

Record 9
The following is a DFT calculation (PBE) of a geometry-optimized Tb2Y3Ho6Th structure.

It has space group C2/m (No. 12), with a = 6.1514 Å, b = 10.6443 Å, c = 11.7642 Å, α = 90.00°, β = 100.03° and γ = 90.00°. The asymmetric unit holds Tb at (0.0000, 0.1666, 0.0000), Y at (0.0000, 0.0000, 0.5000), Y at (0.0000, 0.3327, 0.5000), Ho at (0.2459, 0.5000, 0.7512), Ho at (0.2491, 0.3350, 0.2487) and Th at (0.0000, 0.5000, 0.0000).

The formation energy is 0.03 eV/atom.

Record 10
The following is a DFT calculation (PBE) of a geometry-optimized TbY6Ho3Th2 structure.

It has space group C2/m (No. 12), with a = 6.1796 Å, b = 10.6936 Å, c = 11.7839 Å, α = 90.00°, β = 100.08° and γ = 90.00°. The asymmetric unit holds Tb at (0.0000, 0.0000, 0.0000), Y at (0.2464, 0.5000, 0.2487), Y at (0.2482, 0.3316, 0.7516), Ho at (0.0000, 0.1664, 0.5000), Ho at (0.0000, 0.5000, 0.5000) and Th at (0.0000, 0.3334, 0.0000).

The formation energy is 0.03 eV/atom.

Record 11
The following is a DFT calculation (PBE) of a geometry-optimized Tb3Y2Ho6Th structure.

It has space group C2/m (No. 12), with a = 6.1489 Å, b = 10.6441 Å, c = 11.7532 Å, α = 90.00°, β = 100.05° and γ = 90.00°. The asymmetric unit holds Tb at (0.0000, 0.0000, 0.0000), Tb at (0.0000, 0.3327, 0.0000), Y at (0.0000, 0.1667, 0.5000), Ho at (0.2453, 0.5000, 0.2501), Ho at (0.2490, 0.3353, 0.7500) and Th at (0.0000, 0.5000, 0.5000).

The formation energy is 0.02 eV/atom.

Record 12
The following is a DFT calculation (PBE) of a geometry-optimized TbY2Ho6Th3 structure.

It has space group C2/m (No. 12), with a = 6.1677 Å, b = 10.6783 Å, c = 11.7055 Å, α = 90.00°, β = 100.13° and γ = 90.00°. The asymmetric unit holds Tb at (0.0000, 0.0000, 0.0000), Y at (0.0000, 0.3333, 0.0000), Ho at (0.2483, 0.0000, 0.7457), Ho at (0.2490, 0.3336, 0.7458), Th at (0.0000, 0.1666, 0.5000) and Th at (0.0000, 0.5000, 0.5000).

The formation energy is 0.02 eV/atom.

Record 13
The following is a DFT calculation (PBE) of a geometry-optimized TbY2HoTh structure.

It has space group P2/c (No. 13), with a = 8.5439 Å, b = 6.3671 Å, c = 6.2837 Å, α = 90.00°, β = 96.10° and γ = 90.00°. The asymmetric unit holds Tb at (0.0000, 0.0000, 0.0000), Y at (0.3120, 0.3025, 0.2180), Ho at (0.5000, 0.1807, 0.7500) and Th at (0.0000, 0.4460, 0.7500).

The formation energy is 0.34 eV/atom.

Record 14
The following is a DFT calculation (PBE) of a geometry-optimized Tb6Y3HoTh2 structure.

It has space group C2/m (No. 12), with a = 6.1772 Å, b = 10.6902 Å, c = 11.8300 Å, α = 90.00°, β = 100.04° and γ = 90.00°. The asymmetric unit holds Tb at (0.2463, 0.0000, 0.2473), Tb at (0.2489, 0.1682, 0.7531), Y at (0.0000, 0.0000, 0.5000), Y at (0.0000, 0.3335, 0.5000), Ho at (0.0000, 0.5000, 0.0000) and Th at (0.0000, 0.1666, 0.0000).

The formation energy is 0.03 eV/atom.

Record 15
The following is a DFT calculation (PBE) of a geometry-optimized TbY3HoTh structure.

It has space group P2_1/m (No. 11), with a = 10.6711 Å, b = 3.5734 Å, c = 10.6872 Å, α = 90.00°, β = 109.26° and γ = 90.00°. The asymmetric unit holds Tb at (0.2078, 0.2500, 0.3761), Y at (0.0422, 0.2500, 0.8723), Y at (0.2934, 0.7500, 0.1219), Y at (0.4567, 0.7500, 0.6277), Ho at (0.1258, 0.7500, 0.6261) and Th at (0.3764, 0.2500, 0.8751).

The formation energy is 0.03 eV/atom.

Record 16
The following is a DFT calculation (PBE) of a geometry-optimized Tb2YHo5Th structure.

It has space group Cmc2_1 (No. 36), with a = 5.6811 Å, b = 21.4090 Å, c = 9.7073 Å, α = 90.00°, β = 90.00° and γ = 90.00°. The asymmetric unit holds Tb at (0.0000, 0.1149, 0.0000), Tb at (0.0000, 0.1301, 0.3815), Y at (0.0000, 0.1911, 0.6887), Ho at (0.0000, 0.0147, 0.6888), Ho at (0.0000, 0.2707, 0.9974), Ho at (0.0000, 0.3054, 0.3899), Ho at (0.0000, 0.3976, 0.7125), Ho at (0.0000, 0.4693, 0.4130) and Th at (0.0000, 0.4051, 0.0946).

The formation energy is 0.16 eV/atom.

Record 17
The following is a DFT calculation (PBE) of a geometry-optimized TbYHo2Th structure.

It has space group P2/c (No. 13), with a = 8.4347 Å, b = 6.3850 Å, c = 6.2972 Å, α = 90.00°, β = 96.84° and γ = 90.00°. The asymmetric unit holds Tb at (0.0000, 0.0000, 0.0000), Y at (0.5000, 0.1822, 0.2500), Ho at (0.3117, 0.3034, 0.7141) and Th at (0.0000, 0.4448, 0.2500).

The formation energy is 0.32 eV/atom.

Record 18
The following is a DFT calculation (PBE) of a geometry-optimized TbYHo5Th2 structure.

It has space group I4/mcm (No. 140), with a = 8.7347 Å, b = 8.7347 Å, c = 15.4282 Å, α = 90.00°, β = 90.00° and γ = 90.00°. The asymmetric unit holds Tb at (0.0000, 0.5000, 0.2500), Y at (0.0000, 0.0000, 0.2500), Ho at (0.0000, 0.0000, 0.0000), Ho at (0.2100, 0.2900, 0.1398) and Th at (0.1195, 0.3805, 0.5000).

The formation energy is 0.34 eV/atom.

Record 19
The following is a DFT calculation (PBE) of a geometry-optimized Tb3YHoTh structure.

It has space group P2_1/m (No. 11), with a = 7.9499 Å, b = 5.0492 Å, c = 10.0872 Å, α = 90.00°, β = 108.46° and γ = 90.00°. The asymmetric unit holds Tb at (0.1693, 0.2500, 0.0431), Tb at (0.1754, 0.2500, 0.5437), Tb at (0.1752, 0.7500, 0.2928), Y at (0.1679, 0.7500, 0.7919), Ho at (0.4999, 0.2500, 0.8720) and Th at (0.4992, 0.2500, 0.3776).

The formation energy is 0.03 eV/atom.

Record 20
The following is a DFT calculation (PBE) of a geometry-optimized TbYHoTh structure.

It has space group F-43m (No. 216), with a = 8.0233 Å, b = 8.0233 Å, c = 8.0233 Å, α = 90.00°, β = 90.00° and γ = 90.00°. The asymmetric unit holds Tb at (0.0000, 0.0000, 0.0000), Y at (0.2500, 0.2500, 0.2500), Ho at (0.0000, 0.0000, 0.5000) and Th at (0.2500, 0.2500, 0.7500).

The value obtained for the offset from the most stable computed form is 0.153 eV/atom. The formation energy is 0.16 eV/atom.